1.
{
  "formula": "CeInPt5",
  "functional": "PBE-GGA",
  "state": "relaxed",
  "crystal_system": "orthorhombic",
  "total_magnetization_mub_per_atom": 0.06,
  "energy_ev_per_atom": -6.22,
  "cell": [[-2.979, 3.893, -2.179], [-7.275, -5.061, 0.903], [-1.734, 4.279, 10.018]],
  "species": ["Ce", "Ce", "Ce", "Ce", "In", "In", "In", "In", "Pt", "Pt", "Pt", "Pt", "Pt", "Pt", "Pt", "Pt", "Pt", "Pt", "Pt", "Pt", "Pt", "Pt", "Pt", "Pt", "Pt", "Pt", "Pt", "Pt"],
  "fractional_positions": [[0.250, 0.251, 0.942], [0.750, 0.249, 0.442], [0.250, 0.751, 0.558], [0.750, 0.749, 0.058], [0.250, 0.852, 0.857], [0.750, 0.648, 0.357], [0.250, 0.352, 0.643], [0.750, 0.148, 0.143], [0.250, 0.584, 0.012], [0.750, 0.916, 0.512], [0.250, 0.084, 0.488], [0.750, 0.416, 0.988], [0.750, 0.310, 0.759], [0.250, 0.190, 0.259], [0.750, 0.810, 0.741], [0.250, 0.690, 0.241], [0.250, 0.963, 0.081], [0.750, 0.537, 0.581], [0.250, 0.463, 0.419], [0.750, 0.037, 0.919], [0.994, 0.434, 0.202], [0.006, 0.066, 0.702], [0.506, 0.934, 0.298], [0.494, 0.566, 0.798], [0.006, 0.566, 0.798], [0.994, 0.934, 0.298], [0.494, 0.066, 0.702], [0.506, 0.434, 0.202]]
}



2.
{
  "formula": "Ce2InPt9",
  "functional": "PBE-GGA",
  "state": "relaxed",
  "de_polymorph_mev_per_atom": 146,
  "crystal_system": "trigonal",
  "total_magnetization_mub_per_atom": 0.09,
  "energy_ev_per_atom": -6.40,
  "cell": [[-0.196, -3.074, 4.451], [4.509, -2.331, 1.880], [3.064, 5.431, 7.178]],
  "species": ["Ce", "Ce", "In", "Pt", "Pt", "Pt", "Pt", "Pt", "Pt", "Pt", "Pt", "Pt"],
  "fractional_positions": [[0.863, 0.863, 0.410], [0.137, 0.137, 0.590], [0.000, 0.000, 0.000], [0.668, 0.668, 0.997], [0.332, 0.332, 0.003], [0.500, 0.500, 0.500], [0.413, 0.413, 0.256], [0.918, 0.413, 0.256], [0.413, 0.918, 0.256], [0.587, 0.587, 0.744], [0.587, 0.082, 0.744], [0.082, 0.587, 0.744]]
}



3.
{
  "formula": "Ce6InPt2",
  "functional": "PBE-GGA",
  "state": "relaxed",
  "crystal_system": "monoclinic",
  "total_magnetization_mub_per_atom": 0.37,
  "energy_ev_per_atom": -6.16,
  "cell": [[-0.558, 4.575, 0.709], [-2.907, -2.009, -4.657], [-7.246, -1.682, 5.149]],
  "species": ["Ce", "Ce", "Ce", "Ce", "Ce", "Ce", "In", "Pt", "Pt"],
  "fractional_positions": [[0.068, 0.135, 0.861], [0.592, 0.184, 0.189], [0.408, 0.816, 0.811], [0.708, 0.416, 0.588], [0.292, 0.584, 0.412], [0.932, 0.865, 0.139], [0.000, 0.000, 0.500], [0.744, 0.488, 0.894], [0.256, 0.512, 0.106]]
}



4.
{
  "formula": "CeInPt2",
  "functional": "PBE-GGA",
  "state": "relaxed",
  "crystal_system": "tetragonal",
  "total_magnetization_mub_per_atom": 0.15,
  "energy_ev_per_atom": -5.92,
  "cell": [[3.539, 0.000, 0.000], [0.000, 4.830, 0.000], [0.000, 0.000, 4.830]],
  "species": ["Ce", "Pt", "Pt", "In"],
  "fractional_positions": [[0.500, 0.500, 0.500], [0.000, 0.000, 0.500], [0.000, 0.500, 0.000], [0.500, 0.000, 0.000]]
}



5.
{
  "formula": "Ce2InPt9",
  "functional": "PBE-GGA",
  "state": "relaxed",
  "de_polymorph_mev_per_atom": 0,
  "crystal_system": "tetragonal",
  "total_magnetization_mub_per_atom": 0.00,
  "energy_ev_per_atom": -6.54,
  "cell": [[-2.172, -3.525, -0.055], [1.775, -1.149, 3.560], [-9.069, 5.488, 6.291]],
  "species": ["Ce", "Ce", "In", "Pt", "Pt", "Pt", "Pt", "Pt", "Pt", "Pt", "Pt", "Pt"],
  "fractional_positions": [[0.000, 0.000, 0.329], [0.000, 0.000, 0.671], [0.000, 0.000, 0.000], [0.500, 0.500, 0.000], [0.500, 0.500, 0.330], [0.500, 0.500, 0.670], [0.500, 0.000, 0.164], [0.500, 0.000, 0.500], [0.500, 0.000, 0.836], [0.000, 0.500, 0.164], [0.000, 0.500, 0.500], [0.000, 0.500, 0.836]]
}



6.
{
  "formula": "CeInPt2",
  "functional": "PBE-GGA",
  "state": "relaxed",
  "crystal_system": "tetragonal",
  "total_magnetization_mub_per_atom": 0.00,
  "energy_ev_per_atom": -5.95,
  "cell": [[-2.263, -1.240, 2.313], [2.525, -1.861, 1.473], [1.408, 5.216, 4.173]],
  "species": ["Ce", "Pt", "Pt", "In"],
  "fractional_positions": [[0.500, 0.500, 0.500], [0.000, 0.000, 0.769], [0.000, 0.000, 0.231], [0.500, 0.500, 0.000]]
}



7.
{
  "formula": "Ce2InPt",
  "functional": "PBE-GGA",
  "state": "relaxed",
  "de_polymorph_mev_per_atom": 80,
  "crystal_system": "tetragonal",
  "total_magnetization_mub_per_atom": 0.00,
  "energy_ev_per_atom": -5.76,
  "cell": [[-1.503, 4.317, -0.040], [-2.944, -0.995, 3.244], [3.055, 1.092, 3.107]],
  "species": ["Ce", "Ce", "Pt", "In"],
  "fractional_positions": [[0.000, 0.000, 0.500], [0.000, 0.500, 0.000], [0.500, 0.000, 0.000], [0.500, 0.500, 0.500]]
}



8.
{
  "formula": "CeIn4Pt2",
  "functional": "PBE-GGA",
  "state": "relaxed",
  "de_polymorph_mev_per_atom": 0,
  "crystal_system": "orthorhombic",
  "total_magnetization_mub_per_atom": 0.10,
  "energy_ev_per_atom": -4.75,
  "cell": [[4.571, 0.000, 0.000], [0.000, 7.321, 0.000], [0.000, 0.000, 18.577]],
  "species": ["Pt", "Pt", "Pt", "Pt", "Pt", "Pt", "Pt", "Pt", "Ce", "Ce", "Ce", "Ce", "In", "In", "In", "In", "In", "In", "In", "In", "In", "In", "In", "In", "In", "In", "In", "In"],
  "fractional_positions": [[0.250, 0.757, 0.541], [0.750, 0.243, 0.459], [0.750, 0.257, 0.959], [0.250, 0.743, 0.041], [0.250, 0.957, 0.781], [0.750, 0.043, 0.219], [0.750, 0.457, 0.719], [0.250, 0.543, 0.281], [0.750, 0.964, 0.640], [0.250, 0.036, 0.360], [0.250, 0.464, 0.860], [0.750, 0.536, 0.140], [0.250, 0.255, 0.691], [0.750, 0.745, 0.309], [0.750, 0.755, 0.809], [0.250, 0.245, 0.191], [0.250, 0.665, 0.686], [0.750, 0.335, 0.314], [0.750, 0.165, 0.814], [0.250, 0.835, 0.186], [0.250, 0.148, 0.535], [0.750, 0.852, 0.465], [0.750, 0.648, 0.965], [0.250, 0.352, 0.035], [0.250, 0.498, 0.430], [0.750, 0.502, 0.570], [0.750, 0.998, 0.070], [0.250, 0.002, 0.930]]
}